A relaxed Ba2TaBeSi crystal. Source: Alexandria, functional PBE.

Properties
As for the uncorrected formation energy: 1.276 eV/atom. The crystal system is tetragonal. The value obtained for the offset from the most stable computed form is 0.394 eV/atom. As for the symmetry: P4/mmm (123).

Lattice parameters (Å, degrees): 6.078 6.078 4.555 90.00 90.00 90.00
Fractional coordinates of all 5 atoms:
Ba 0.000 0.500 0.000
Ba 0.500 0.000 0.000
Ta 0.000 0.000 0.000
Be 0.000 0.000 0.500
Si 0.500 0.500 0.500